# 1
VASP calculation (GGA-PBE) on a relaxed CuNiRu2 crystal.

Computed properties:
* theoretical density: 10.441 Mg/m³
* energy relative to the elements: 90 kJ/mol of formula units
* N(E_F): 5.9 states/eV/f.u.
* SG: C2/m
* VASP energy: -6.87 eV/atom

```
CuNiRu2
1.0
4.519 0.005 -0.006
3.755 2.514 -0.006
0.762 0.232 4.547
Ru Cu Ni
2 1 1
Direct
0.496 0.496 0.505
0.004 0.004 0.995
0.250 0.250 0.250
0.750 0.750 0.750
```


# 2
VASP calculation (GGA-PBE) on a relaxed CuNiRu2 crystal.

Computed properties:
* theoretical density: 10.485 Mg/m³
* energy relative to the elements: 54 kJ/mol of formula units
* N(E_F): 4.7 states/eV/f.u.
* SG: P4mm
* VASP energy: -6.97 eV/atom

```
CuNiRu2
1.0
2.686 0.000 0.000
0.000 2.686 0.000
0.000 0.000 7.119
Ru Cu Ni
2 1 1
Direct
0.500 0.500 0.248
0.000 0.000 0.995
0.000 0.000 0.512
0.500 0.500 0.744
```


# 3
VASP calculation (GGA-PBE) on a relaxed CuNiRu2 crystal.

Computed properties:
* theoretical density: 10.577 Mg/m³
* energy relative to the elements: 120 kJ/mol of formula units
* N(E_F): 2.9 states/eV/f.u.
* SG: P4/mmm
* VASP energy: -6.80 eV/atom

```
CuNiRu2
1.0
2.917 0.000 0.000
0.000 2.917 0.000
0.000 0.000 5.987
Ni Cu Ru
1 1 2
Direct
0.500 0.500 0.750
0.500 0.500 0.250
0.000 0.000 0.508
0.000 0.000 0.992
```


# 4
VASP calculation (GGA-PBE) on a relaxed CuNiRu2 crystal.

Computed properties:
* theoretical density: 10.483 Mg/m³
* energy relative to the elements: 50 kJ/mol of formula units
* N(E_F): 3.9 states/eV/f.u.
* SG: Pm
* VASP energy: -6.98 eV/atom

```
CuNiRu2
1.0
3.677 0.000 0.000
0.000 2.691 0.005
0.000 2.683 5.196
Cu Ni Ru
1 1 2
Direct
0.000 0.488 0.513
0.500 0.761 0.738
0.000 0.992 0.007
0.500 0.259 0.242
```


# 5
VASP calculation (GGA-PBE) on a relaxed CuNiRu2 crystal.

Computed properties:
* theoretical density: 10.250 Mg/m³
* energy relative to the elements: 141 kJ/mol of formula units
* N(E_F): 5.7 states/eV/f.u.
* SG: Cmmm
* VASP energy: -6.74 eV/atom

```
CuNiRu2
1.0
-0.581 1.497 2.030
2.076 -1.530 0.227
5.074 6.401 -3.268
Ru Ni Cu
2 1 1
Direct
0.000 0.000 0.506
0.000 0.000 0.994
0.500 0.500 0.750
0.500 0.500 0.250
```


# 6
VASP calculation (GGA-PBE) on a relaxed Cu2Ni2Ru crystal.

Computed properties:
* theoretical density: 9.431 Mg/m³
* energy relative to the elements: 152 kJ/mol of formula units
* N(E_F): 6.2 states/eV/f.u.
* SG: P4/mbm
* energy above the most stable polymorph in this dataset: 18 meV per atom
* VASP energy: -5.49 eV/atom

```
Cu2Ni2Ru
1.0
-5.888 3.588 -0.470
-0.037 -0.957 -6.844
-1.334 -2.149 0.308
Ni Cu Ru
4 4 2
Direct
0.623 0.123 0.000
0.377 0.877 0.000
0.877 0.623 0.000
0.123 0.377 0.000
0.674 0.826 0.500
0.326 0.174 0.500
0.826 0.326 0.500
0.174 0.674 0.500
0.500 0.500 0.000
0.000 0.000 0.000
```


# 7
VASP calculation (GGA-PBE) on a relaxed CuNiRu2 crystal.

Computed properties:
* theoretical density: 10.325 Mg/m³
* energy relative to the elements: 132 kJ/mol of formula units
* N(E_F): 6.3 states/eV/f.u.
* SG: F-43m
* VASP energy: -6.77 eV/atom

```
CuNiRu2
1.0
4.194 0.000 0.000
2.097 3.632 0.000
2.097 1.211 3.425
Cu Ni Ru
1 1 2
Direct
0.500 0.500 0.500
0.250 0.250 0.250
0.750 0.750 0.750
0.000 0.000 0.000
```


# 8
VASP calculation (GGA-PBE) on a relaxed CuNiRu2 crystal.

Computed properties:
* theoretical density: 10.517 Mg/m³
* energy relative to the elements: 63 kJ/mol of formula units
* N(E_F): 4.1 states/eV/f.u.
* SG: Cm
* VASP energy: -6.94 eV/atom

```
CuNiRu2
1.0
1.325 4.362 -0.010
-1.325 4.362 -0.010
0.000 0.800 4.428
Cu Ru Ni
1 2 1
Direct
0.503 0.503 0.482
0.748 0.748 0.766
0.999 0.999 0.985
0.250 0.250 0.268
```


# 9
VASP calculation (GGA-PBE) on a relaxed CuNiRu2 crystal.

Computed properties:
* theoretical density: 10.413 Mg/m³
* energy relative to the elements: 88 kJ/mol of formula units
* N(E_F): 5.1 states/eV/f.u.
* SG: R-3m
* VASP energy: -6.88 eV/atom

```
CuNiRu2
1.0
-0.819 8.556 1.197
-3.029 8.130 -0.191
-3.021 7.764 2.427
Ru Ni Cu
2 1 1
Direct
0.748 0.748 0.748
0.252 0.252 0.252
0.000 0.000 0.000
0.500 0.500 0.500
```


# 10
VASP calculation (GGA-PBE) on a relaxed Cu2Ni2Ru crystal.

Computed properties:
* theoretical density: 8.849 Mg/m³
* energy relative to the elements: 242 kJ/mol of formula units
* N(E_F): 4.0 states/eV/f.u.
* SG: I4/mmm
* energy above the most stable polymorph in this dataset: 205 meV per atom
* VASP energy: -5.30 eV/atom

```
Cu2Ni2Ru
1.0
3.310 0.000 0.000
0.000 3.310 0.000
1.655 1.655 5.919
Ni Cu Ru
2 2 1
Direct
0.403 0.403 0.194
0.597 0.597 0.806
0.250 0.750 0.500
0.750 0.250 0.500
0.000 0.000 0.000
```


# 11
VASP calculation (GGA-PBE) on a relaxed CuNiRu2 crystal.

Computed properties:
* theoretical density: 9.313 Mg/m³
* energy relative to the elements: 300 kJ/mol of formula units
* N(E_F): 5.0 states/eV/f.u.
* SG: I-42d
* VASP energy: -6.33 eV/atom

```
CuNiRu2
1.0
-2.505 5.123 3.998
-3.739 -4.640 3.603
-1.302 -0.050 5.314
Cu Ru Ni
2 4 2
Direct
0.000 0.000 0.000
0.750 0.250 0.500
0.875 0.828 0.750
0.578 0.125 0.250
0.172 0.625 0.250
0.375 0.422 0.750
0.250 0.750 0.500
0.500 0.500 0.000
```


# 12
VASP calculation (GGA-PBE) on a relaxed CuNiRu2 crystal.

Computed properties:
* theoretical density: 10.184 Mg/m³
* energy relative to the elements: 134 kJ/mol of formula units
* N(E_F): 5.4 states/eV/f.u.
* SG: Cmm2
* VASP energy: -6.76 eV/atom

```
CuNiRu2
1.0
-1.302 0.157 2.254
2.244 -1.329 0.013
4.326 7.323 1.989
Ru Ni Cu
2 1 1
Direct
0.000 0.000 0.993
0.500 0.500 0.251
0.500 0.500 0.746
0.000 0.000 0.510
```


# 13
VASP calculation (GGA-PBE) on a relaxed CuNiRu2 crystal.

Computed properties:
* theoretical density: 10.513 Mg/m³
* energy relative to the elements: 104 kJ/mol of formula units
* N(E_F): 5.3 states/eV/f.u.
* SG: Pmmm
* VASP energy: -6.84 eV/atom

```
CuNiRu2
1.0
-2.381 1.068 -0.230
-0.378 -1.578 -3.424
-2.091 -4.195 2.164
Ru Cu Ni
2 1 1
Direct
0.000 0.000 0.502
0.000 0.000 0.998
0.500 0.500 0.250
0.500 0.500 0.750
```


# 14
VASP calculation (GGA-PBE) on a relaxed Cu2Ni2Ru crystal.

Computed properties:
* theoretical density: 9.461 Mg/m³
* energy relative to the elements: 143 kJ/mol of formula units
* N(E_F): 7.0 states/eV/f.u.
* SG: P4/mbm
* energy above the most stable polymorph in this dataset: 0 meV per atom
* VASP energy: -5.51 eV/atom

```
Cu2Ni2Ru
1.0
-4.739 0.418 -4.932
2.567 -5.631 -2.944
-1.595 -1.464 1.409
Ru Cu Ni
2 4 4
Direct
0.500 0.500 0.000
0.000 0.000 0.000
0.877 0.623 0.000
0.123 0.377 0.000
0.377 0.877 0.000
0.623 0.123 0.000
0.824 0.324 0.500
0.676 0.824 0.500
0.324 0.176 0.500
0.176 0.676 0.500
```


# 15
VASP calculation (GGA-PBE) on a relaxed CuNiRu2 crystal.

Computed properties:
* theoretical density: 10.593 Mg/m³
* energy relative to the elements: 63 kJ/mol of formula units
* N(E_F): 4.7 states/eV/f.u.
* SG: I-4m2
* VASP energy: -6.94 eV/atom

```
CuNiRu2
1.0
4.574 -0.005 0.000
1.625 4.276 0.000
-3.099 -2.135 2.599
Ru Cu Ni
2 1 1
Direct
0.000 0.000 0.000
0.250 0.750 0.500
0.500 0.500 0.000
0.750 0.250 0.500
```


# 16
VASP calculation (GGA-PBE) on a relaxed CuNiRu2 crystal.

Computed properties:
* theoretical density: 10.501 Mg/m³
* energy relative to the elements: 109 kJ/mol of formula units
* N(E_F): 6.2 states/eV/f.u.
* SG: Cmmm
* VASP energy: -6.83 eV/atom

```
CuNiRu2
1.0
4.598 0.006 0.000
-1.740 4.256 0.000
0.000 0.000 2.620
Ni Ru Cu
1 2 1
Direct
0.000 0.500 0.500
0.000 0.000 0.000
0.500 0.500 0.000
0.500 0.000 0.500
```


# 17
VASP calculation (GGA-PBE) on a relaxed CuNi4Ru crystal.

Computed properties:
* theoretical density: 9.251 Mg/m³
* energy relative to the elements: 107 kJ/mol of formula units
* N(E_F): 4.2 states/eV/f.u.
* SG: F-43m
* VASP energy: -5.90 eV/atom

```
CuNi4Ru
1.0
0.000 3.297 3.297
3.297 0.000 3.297
3.297 3.297 0.000
Ni Cu Ru
4 1 1
Direct
0.876 0.375 0.375
0.375 0.876 0.375
0.375 0.375 0.375
0.375 0.375 0.876
0.000 0.000 0.000
0.750 0.750 0.750
```


# 18
VASP calculation (GGA-PBE) on a relaxed CuNiRu2 crystal.

Computed properties:
* theoretical density: 10.360 Mg/m³
* energy relative to the elements: 61 kJ/mol of formula units
* N(E_F): 4.2 states/eV/f.u.
* SG: R3m
* VASP energy: -6.95 eV/atom

```
CuNiRu2
1.0
-3.860 1.394 -7.522
-5.714 -0.152 -6.383
-5.691 2.474 -5.908
Ru Ni Cu
2 1 1
Direct
0.251 0.251 0.251
0.001 0.001 0.001
0.751 0.751 0.751
0.497 0.497 0.497
```


# 19
VASP calculation (GGA-PBE) on a relaxed CuNiRu2 crystal.

Computed properties:
* theoretical density: 10.521 Mg/m³
* energy relative to the elements: 100 kJ/mol of formula units
* N(E_F): 5.4 states/eV/f.u.
* SG: I4/mmm
* VASP energy: -6.85 eV/atom

```
CuNiRu2
1.0
-4.338 -1.519 -0.324
-1.809 -0.845 4.152
2.209 3.623 -1.794
Ru Cu Ni
2 1 1
Direct
0.000 0.000 0.000
0.500 0.500 0.000
0.250 0.750 0.500
0.750 0.250 0.500
```


# 20
VASP calculation (GGA-PBE) on a relaxed CuNiRu2 crystal.

Computed properties:
* theoretical density: 10.503 Mg/m³
* energy relative to the elements: 107 kJ/mol of formula units
* N(E_F): 6.1 states/eV/f.u.
* SG: P4/mmm
* VASP energy: -6.83 eV/atom

```
CuNiRu2
1.0
-1.349 -1.289 -3.345
3.003 -2.049 -0.422
-1.647 -2.771 1.732
Ru Cu Ni
2 1 1
Direct
0.000 0.000 0.000
0.000 0.500 0.500
0.500 0.500 0.000
0.500 0.000 0.500
```


# 21
VASP calculation (GGA-PBE) on a relaxed CuNiRu2S crystal.

Computed properties:
* theoretical density: 6.683 Mg/m³
* N(E_F): 6.7 states/eV/f.u.
* SG: P4/mmm
* VASP energy: -4.92 eV/atom
* formation energy without anion corrections: 1.596 eV per atom

```
CuNiRu2S
1.0
-4.279 -1.224 -0.943
1.388 -3.815 -1.350
-0.455 -1.656 4.213
Ni Ru S Cu
1 2 1 1
Direct
0.000 0.500 0.000
0.000 0.000 0.500
0.500 0.000 0.000
0.500 0.500 0.500
0.000 0.000 0.000
```


# 22
VASP calculation (GGA-PBE) on a relaxed ScCuNi2Ru crystal.

Computed properties:
* theoretical density: 6.601 Mg/m³
* energy relative to the elements: 622 kJ/mol of formula units
* N(E_F): 4.7 states/eV/f.u.
* SG: P4/mmm
* VASP energy: -4.96 eV/atom

```
ScCuNi2Ru
1.0
-0.639 -3.732 -1.970
4.447 -0.780 0.037
-0.371 -1.935 3.787
Sc Ni Cu Ru
1 2 1 1
Direct
0.000 0.000 0.000
0.500 0.000 0.000
0.000 0.000 0.500
0.000 0.500 0.000
0.500 0.500 0.500
```


# 23
VASP calculation (GGA-PBE) on a relaxed TaCuNiRu crystal.

Computed properties:
* theoretical density: 12.136 Mg/m³
* energy relative to the elements: -57 kJ/mol of formula units
* N(E_F): 0.4 states/eV/f.u.
* SG: F-43m
* energy above the most stable polymorph in this dataset: 71 meV per atom
* VASP energy: -7.90 eV/atom

```
TaCuNiRu
1.0
4.277 0.000 0.000
2.138 3.704 0.000
2.138 1.235 3.492
Ta Ni Cu Ru
1 1 1 1
Direct
0.500 0.500 0.500
0.250 0.250 0.250
0.000 0.000 0.000
0.750 0.750 0.750
```


# 24
VASP calculation (GGA-PBE) on a relaxed TaCuNiRu crystal.

Computed properties:
* theoretical density: 12.352 Mg/m³
* energy relative to the elements: -85 kJ/mol of formula units
* N(E_F): 0.8 states/eV/f.u.
* SG: Pmmm
* energy above the most stable polymorph in this dataset: 0 meV per atom
* VASP energy: -7.97 eV/atom

```
TaCuNiRu
1.0
-0.955 -3.111 1.426
3.623 -1.165 -0.116
0.601 1.502 3.677
Ru Ta Ni Cu
1 1 1 1
Direct
0.500 0.500 0.000
0.000 0.000 0.000
0.500 0.000 0.500
0.000 0.500 0.500
```


# 25
VASP calculation (GGA-PBE) on a relaxed CuNiS crystal.

Computed properties:
* theoretical density: 6.136 Mg/m³
* N(E_F): 2.8 states/eV/f.u.
* SG: C2
* energy above the most stable polymorph in this dataset: 38 meV per atom
* VASP energy: -4.78 eV/atom
* formation energy without anion corrections: -0.113 eV per atom

```
CuNiS
1.0
5.528 0.000 0.000
0.000 5.188 0.000
-2.303 0.000 5.824
Cu S Ni
4 4 4
Direct
0.783 0.090 0.058
0.217 0.090 0.942
0.783 0.590 0.558
0.217 0.590 0.442
0.215 0.999 0.309
0.215 0.499 0.809
0.785 0.499 0.191
0.785 0.999 0.691
0.439 0.215 0.673
0.561 0.715 0.827
0.439 0.715 0.173
0.561 0.215 0.327
```


# 26
VASP calculation (GGA-PBE) on a relaxed Cu2NiS3 crystal.

Computed properties:
* theoretical density: 4.550 Mg/m³
* N(E_F): 4.9 states/eV/f.u.
* SG: Cc
* VASP energy: -4.64 eV/atom
* formation energy without anion corrections: -0.244 eV per atom

```
Cu2NiS3
1.0
6.208 -0.006 -1.072
-3.371 5.213 -1.072
0.008 0.014 6.357
Cu S Ni
4 6 2
Direct
0.425 0.594 0.505
0.266 0.766 0.007
0.594 0.425 0.005
0.766 0.266 0.507
0.730 0.563 0.384
0.378 0.891 0.386
0.891 0.378 0.886
0.053 0.204 0.376
0.563 0.730 0.884
0.204 0.053 0.876
0.098 0.929 0.514
0.929 0.098 0.014
```


# 27
VASP calculation (GGA-PBE) on a relaxed CuNiS crystal.

Computed properties:
* theoretical density: 6.217 Mg/m³
* N(E_F): 1.7 states/eV/f.u.
* SG: C2/m
* energy above the most stable polymorph in this dataset: 51 meV per atom
* VASP energy: -4.77 eV/atom
* formation energy without anion corrections: -0.100 eV per atom

```
CuNiS
1.0
-1.346 -0.837 -4.388
0.332 -3.251 0.518
-9.858 -0.330 4.237
Cu S Ni
4 4 4
Direct
0.862 0.500 0.329
0.138 0.000 0.171
0.138 0.500 0.671
0.862 0.000 0.829
0.677 0.000 0.628
0.323 0.500 0.872
0.677 0.500 0.128
0.323 0.000 0.372
0.500 0.000 0.000
0.000 0.000 0.500
0.000 0.500 0.000
0.500 0.500 0.500
```


# 28
VASP calculation (GGA-PBE) on a relaxed CuNiS2 crystal.

Computed properties:
* theoretical density: 5.416 Mg/m³
* N(E_F): 2.2 states/eV/f.u.
* SG: R3m
* VASP energy: -4.65 eV/atom
* formation energy without anion corrections: -0.114 eV per atom

```
CuNiS2
1.0
-1.195 -3.167 -0.083
0.341 -2.010 2.703
-5.344 0.131 2.892
S Cu Ni
2 1 1
Direct
0.074 0.074 0.779
0.259 0.259 0.222
0.503 0.503 0.490
0.664 0.664 0.008
```


The calculation returns the following total magnetization values, one per record and in order: 0.00; 0.00; 0.00; 0.00; 0.01; 0.00; 1.09; 0.00; 0.28; 2.06; 1.84; 1.08; 0.00; 1.95; 0.00; 0.00; 4.19; 0.00; 0.00; 0.00; 5.26; 1.59; 0.00; 0.00; 0.00; 0.00; 0.00; 0.00 Bohr magnetons per cell.